# LaTb2Ho GGA-PBE relaxed
data_LaTb2Ho
_chemical_formula_sum 'La3 Tb6 Ho3'
_cell_length_a 3.6208
_cell_length_b 3.6208
_cell_length_c 34.8626
_cell_angle_alpha 90.00
_cell_angle_beta 90.00
_cell_angle_gamma 120.00
_symmetry_space_group_name_H-M 'R 3 m'
_symmetry_Int_Tables_number 160
_symmetry_space_group_name_Hall 'R 3 -2"'
loop_
_atom_site_label
_atom_site_type_symbol
_atom_site_fract_x
_atom_site_fract_y
_atom_site_fract_z
La1 La 0.0000 0.0000 0.0000
Tb1 Tb 0.0000 0.0000 0.4187
Tb2 Tb 0.0000 0.0000 0.5810
Ho1 Ho 0.0000 0.0000 0.1660
# DFT formation energy in kJ/mol of formula units: 3
# Energy above the lowest structure with this stoichiometry in eV per atom: 0.0000

# Pm8As4P3S GGA-PBE relaxed
data_Pm8As4P3S
_chemical_formula_sum 'Pm24 As12 P9 S3'
_cell_length_a 8.3497
_cell_length_b 8.3497
_cell_length_c 20.4538
_cell_angle_alpha 90.00
_cell_angle_beta 90.00
_cell_angle_gamma 120.00
_symmetry_space_group_name_H-M 'R -3 m'
_symmetry_Int_Tables_number 166
_symmetry_space_group_name_Hall '-R 3 2"'
loop_
_atom_site_label
_atom_site_type_symbol
_atom_site_fract_x
_atom_site_fract_y
_atom_site_fract_z
Pm1 Pm 0.0000 0.0000 0.2478
Pm2 Pm 0.0029 0.5014 0.7516
As1 As 0.0000 0.0000 0.0000
As2 As 0.0000 0.5000 0.0000
P1 P 0.0000 0.5000 0.5000
S1 S 0.0000 0.0000 0.5000
# ΔE_f (raw) in eV/atom: -1.629

# NaTl2S10 GGA-PBE relaxed
data_NaTl2S10
_chemical_formula_sum 'Na2 Tl4 S20'
_cell_length_a 11.810
_cell_length_b 13.014
_cell_length_c 4.900
_cell_angle_alpha 90.00
_cell_angle_beta 90.00
_cell_angle_gamma 90.00
_symmetry_space_group_name_H-M 'P b a m'
_symmetry_Int_Tables_number 55
loop_
_symmetry_equiv_pos_as_xyz
'x,y,z'
'-x,-y,-z'
'-x,-y,z'
'x,y,-z'
'x+1/2,-y+1/2,-z'
'-x+1/2,y+1/2,z'
'-x+1/2,y+1/2,-z'
'x+1/2,-y+1/2,z'
loop_
_atom_site_label
_atom_site_type_symbol
_atom_site_fract_x
_atom_site_fract_y
_atom_site_fract_z
Na1 Na 0.000 0.000 0.000
Tl1 Tl 0.233 0.291 0.500
S1 S 0.003 0.580 0.000
S2 S 0.014 0.806 0.294
S3 S 0.182 0.595 0.000
S4 S 0.243 0.957 0.000
# ΔE_f (raw) in eV/atom: -0.036

# CuPC2S GGA-PBE relaxed
data_CuPC2S
_chemical_formula_sum 'Cu1 P1 C2 S1'
_cell_length_a 3.372
_cell_length_b 3.372
_cell_length_c 7.817
_cell_angle_alpha 90.00
_cell_angle_beta 90.00
_cell_angle_gamma 90.00
_symmetry_space_group_name_H-M 'P 4/m m m'
_symmetry_Int_Tables_number 123
_symmetry_space_group_name_Hall '-P 4 2'
loop_
_atom_site_label
_atom_site_type_symbol
_atom_site_fract_x
_atom_site_fract_y
_atom_site_fract_z
Cu1 Cu 0.000 0.000 0.000
P1 P 0.000 0.000 0.500
C1 C 0.000 0.500 0.500
S1 S 0.500 0.500 0.000
# ΔE_f (raw) in eV/atom: 1.399

# InHg3F8 GGA-PBE relaxed
data_InHg3F8
_chemical_formula_sum 'In1 Hg3 F8'
_cell_length_a 5.629
_cell_length_b 5.629
_cell_length_c 5.629
_cell_angle_alpha 90.00
_cell_angle_beta 90.00
_cell_angle_gamma 90.00
_symmetry_space_group_name_H-M 'P m -3 m'
_symmetry_Int_Tables_number 221
_symmetry_space_group_name_Hall '-P 4 2 3'
loop_
_atom_site_label
_atom_site_type_symbol
_atom_site_fract_x
_atom_site_fract_y
_atom_site_fract_z
In1 In 0.000 0.000 0.000
Hg1 Hg 0.000 0.500 0.500
F1 F 0.234 0.234 0.234
# ΔE_f (raw) in eV/atom: -1.683

# SmV2Fe5Co5 GGA-PBE relaxed
data_SmV2Fe5Co5
_chemical_formula_sum 'Sm2 V4 Fe10 Co10'
_cell_length_a 4.664
_cell_length_b 8.424
_cell_length_c 8.444
_cell_angle_alpha 90.00
_cell_angle_beta 90.00
_cell_angle_gamma 90.00
_symmetry_space_group_name_H-M 'I m m 2'
_symmetry_Int_Tables_number 44
loop_
_symmetry_equiv_pos_as_xyz
'x,y,z'
'-x,-y,z'
'-x,y,z'
'x,-y,z'
'x+1/2,y+1/2,z+1/2'
'-x+1/2,-y+1/2,z+1/2'
'-x+1/2,y+1/2,z+1/2'
'x+1/2,-y+1/2,z+1/2'
loop_
_atom_site_label
_atom_site_type_symbol
_atom_site_fract_x
_atom_site_fract_y
_atom_site_fract_z
Sm1 Sm 0.000 0.000 0.000
V1 V 0.000 0.000 0.357
V2 V 0.000 0.000 0.640
Fe1 Fe 0.000 0.500 0.272
Fe2 Fe 0.250 0.249 0.249
Co1 Co 0.000 0.271 0.498
Co2 Co 0.000 0.360 0.000
Co3 Co 0.000 0.500 0.725
# DFT formation energy in kJ/mol of formula units: -80

# BaZn2Cl GGA-PBE relaxed
data_BaZn2Cl
_chemical_formula_sum 'Ba4 Zn8 Cl4'
_cell_length_a 9.336
_cell_length_b 9.336
_cell_length_c 5.934
_cell_angle_alpha 90.00
_cell_angle_beta 90.00
_cell_angle_gamma 90.00
_symmetry_space_group_name_H-M 'I -4 2 d'
_symmetry_Int_Tables_number 122
_symmetry_space_group_name_Hall 'I -4 2bw'
loop_
_atom_site_label
_atom_site_type_symbol
_atom_site_fract_x
_atom_site_fract_y
_atom_site_fract_z
Ba1 Ba 0.000 0.000 0.000
Zn1 Zn 0.233 0.250 0.625
Cl1 Cl 0.000 0.000 0.500
# ΔE_f (raw) in eV/atom: -0.542
# Energy above the lowest structure with this stoichiometry in eV per atom: 0.1968

# Ba8IrPd2 GGA-PBE relaxed
data_Ba8IrPd2
_chemical_formula_sum 'Ba16 Ir2 Pd4'
_cell_length_a 15.226
_cell_length_b 8.376
_cell_length_c 8.586
_cell_angle_alpha 90.00
_cell_angle_beta 90.40
_cell_angle_gamma 90.00
_symmetry_space_group_name_H-M 'C 1 2/m 1'
_symmetry_Int_Tables_number 12
loop_
_symmetry_equiv_pos_as_xyz
'x,y,z'
'-x,-y,-z'
'-x,y,-z'
'x,-y,z'
'x+1/2,y+1/2,z'
'-x+1/2,-y+1/2,-z'
'-x+1/2,y+1/2,-z'
'x+1/2,-y+1/2,z'
loop_
_atom_site_label
_atom_site_type_symbol
_atom_site_fract_x
_atom_site_fract_y
_atom_site_fract_z
Ba1 Ba 0.037 0.240 0.245
Ba2 Ba 0.192 0.000 0.619
Ba3 Ba 0.216 0.500 0.898
Ir1 Ir 0.000 0.000 0.500
Pd1 Pd 0.095 0.000 0.959
# DFT formation energy in kJ/mol of formula units: -257
# Energy above the lowest structure with this stoichiometry in eV per atom: 0.0000

Number 1: total DFT energy (no corrections) -4.683 eV/atom. Number 2: total DFT energy (no corrections) -6.439 eV/atom. Number 3: total DFT energy (no corrections) -3.676 eV/atom. Number 4: total DFT energy (no corrections) -5.017 eV/atom. Number 5: total DFT energy (no corrections) -3.234 eV/atom. Number 6: total DFT energy (no corrections) -7.817 eV/atom. Number 7: total DFT energy (no corrections) -2.121 eV/atom. Number 8: total DFT energy (no corrections) -3.390 eV/atom.